No. 1
Compound: BeTeIO2
Source: Alexandria via LeMat-Bulk
Functional: PBE
Structure: optimized geometry

a = 4.0067 Å, b = 4.0067 Å, c = 8.0663 Å
α = 90.00°, β = 90.00°, γ = 90.00°
Element x y z (fractional)
1 I 0.0000 0.0000 0.5000
2 Be 0.5000 0.5000 0.5000
3 Te 0.0000 0.0000 0.0000
4 O 0.0000 0.5000 0.0000
5 O 0.5000 0.0000 0.0000

Output
For the formation energy without anion corrections, the calculation gives 29 meV/atom. Its magnetic moment is 0.0000 μB per atom. As for the space-group type: No. 123. The crystal system is tetragonal. The value obtained for the density of states at the Fermi level is 1.41 states/eV/f.u.

---

No. 2
Compound: Sc2MnB2Rh5
Source: Alexandria via LeMat-Bulk
Functional: PBE
Structure: optimized geometry

a = 9.3533 Å, b = 9.3533 Å, c = 3.0829 Å
α = 90.00°, β = 90.00°, γ = 90.00°
Site moments in Bohr magnetons follow the coordinates.
Element x y z (fractional)
1 Sc 0.3244 0.8244 0.0000  -0.08
2 Sc 0.1756 0.3244 0.0000  -0.08
3 Sc 0.8244 0.6756 0.0000  -0.08
4 Sc 0.6756 0.1756 0.0000  -0.08
5 Mn 0.0000 0.0000 0.0000  3.62
6 Mn 0.5000 0.5000 0.0000  3.62
7 B 0.1247 0.6247 0.0000  0.00
8 B 0.3753 0.1247 0.0000  0.00
9 B 0.6247 0.8753 0.0000  0.00
10 B 0.8753 0.3753 0.0000  0.00
11 Rh 0.2180 0.0708 0.5000  0.16
12 Rh 0.9292 0.2180 0.5000  0.16
13 Rh 0.0708 0.7820 0.5000  0.16
14 Rh 0.7820 0.9292 0.5000  0.16
15 Rh 0.7180 0.4292 0.5000  0.16
16 Rh 0.2820 0.5708 0.5000  0.16
17 Rh 0.5708 0.7180 0.5000  0.16
18 Rh 0.4292 0.2820 0.5000  0.16
19 Rh 0.0000 0.5000 0.5000  0.01
20 Rh 0.5000 0.0000 0.5000  0.01

Output
Its magnetic moment is 0.4069 μB per atom. The calculation puts the formation enthalpy at 0 K at -0.754 eV per atom. As for the space-group type: No. 127. The crystal system is tetragonal. The value obtained for the density of states at the Fermi level is 4.17 states/eV/f.u.

---

No. 3
Compound: SbPPdS2
Source: Alexandria via LeMat-Bulk
Functional: PBE
Structure: optimized geometry

a = 4.5439 Å, b = 5.5001 Å, c = 4.5439 Å
α = 90.00°, β = 90.00°, γ = 90.00°
Element x y z (fractional)
1 Sb 0.0000 0.5000 0.0000
2 S 0.0000 0.0000 0.5000
3 S 0.5000 0.0000 0.0000
4 Pd 0.0000 0.0000 0.0000
5 P 0.5000 0.5000 0.5000

Output
For the formation energy without anion corrections, the calculation gives 715 meV/atom. Its magnetic moment is 0.0000 μB per atom. As for the space-group type: No. 123. The crystal system is tetragonal. The value obtained for the density of states at the Fermi level is 4.56 states/eV/f.u.

---

No. 4
Compound: PrTh3H8
Source: Alexandria via LeMat-Bulk
Functional: PBE
Structure: optimized geometry

a = 5.4744 Å, b = 5.4744 Å, c = 5.4744 Å
α = 90.00°, β = 90.00°, γ = 90.00°
Element x y z (fractional)
1 Pr 0.0000 0.0000 0.0000
2 Th 0.5000 0.5000 0.0000
3 Th 0.5000 0.0000 0.5000
4 Th 0.0000 0.5000 0.5000
5 H 0.2533 0.2533 0.7467
6 H 0.2533 0.7467 0.2533
7 H 0.7467 0.2533 0.2533
8 H 0.7467 0.7467 0.7467
9 H 0.7467 0.7467 0.2533
10 H 0.7467 0.2533 0.7467
11 H 0.2533 0.7467 0.7467
12 H 0.2533 0.2533 0.2533

Output
Its magnetic moment is 0.0000 μB per atom. As for the space-group type: No. 221. The crystal system is cubic. The value obtained for the density of states at the Fermi level is 1.77 states/eV/f.u. As for the uncorrected energy: -60.4 eV for the cell shown.

---

No. 5
Compound: GaPdPtRh
Source: Alexandria via LeMat-Bulk
Functional: PBE
Structure: optimized geometry

a = 4.3916 Å, b = 4.3916 Å, c = 4.3916 Å
α = 60.00°, β = 60.00°, γ = 60.00°
Element x y z (fractional)
1 Ga 0.5000 0.5000 0.5000
2 Rh 0.2500 0.2500 0.2500
3 Pd 0.0000 0.0000 0.0000
4 Pt 0.7500 0.7500 0.7500

Output
Its magnetic moment is 0.0001 μB per atom. The calculation puts the formation enthalpy at 0 K at -0.307 eV per atom. As for the space-group type: No. 216. The crystal system is cubic. The value obtained for the density of states at the Fermi level is 5.52 states/eV/f.u.

---

No. 6
Compound: UPPd
Source: Alexandria via LeMat-Bulk
Functional: PBE
Structure: optimized geometry

a = 4.0455 Å, b = 6.8995 Å, c = 11.6153 Å
α = 91.17°, β = 90.00°, γ = 90.00°
Site moments in Bohr magnetons follow the coordinates.
Element x y z (fractional)
1 U 0.7500 0.5260 0.3876  -2.26
2 U 0.2500 0.9963 0.7117  2.05
3 U 0.7500 0.0037 0.2883  2.05
4 U 0.7500 0.6477 0.0739  2.35
5 U 0.2500 0.4740 0.6124  -2.26
6 U 0.2500 0.3523 0.9261  2.35
7 P 0.2500 0.7637 0.9052  -0.04
8 P 0.7500 0.2873 0.7560  -0.02
9 P 0.7500 0.7709 0.5949  0.01
10 P 0.7500 0.2363 0.0948  -0.04
11 P 0.2500 0.2291 0.4051  0.01
12 P 0.2500 0.7127 0.2440  -0.02
13 Pd 0.2500 0.9864 0.0872  -0.02
14 Pd 0.2500 0.8500 0.4626  -0.02
15 Pd 0.7500 0.6423 0.7961  0.00
16 Pd 0.7500 0.1500 0.5374  -0.02
17 Pd 0.2500 0.3577 0.2039  0.00
18 Pd 0.7500 0.0136 0.9128  -0.02

Output
Its magnetic moment is 0.2575 μB per atom. The calculation puts the formation enthalpy at 0 K at -0.706 eV per atom. As for the space-group type: No. 11. The crystal system is monoclinic. The value obtained for the density of states at the Fermi level is 5.52 states/eV/f.u.

---

No. 7
Compound: FeTeS3
Source: Alexandria via LeMat-Bulk
Functional: PBE
Structure: optimized geometry

a = 4.5029 Å, b = 4.5029 Å, c = 4.5029 Å
α = 90.00°, β = 90.00°, γ = 90.00°
Site moments in Bohr magnetons follow the coordinates.
Element x y z (fractional)
1 S 0.0000 0.5000 0.0000  0.15
2 S 0.0000 0.0000 0.5000  0.12
3 S 0.5000 0.0000 0.0000  0.17
4 Te 0.5000 0.5000 0.5000  -0.17
5 Fe 0.0000 0.0000 0.0000  2.09

Output
For the formation energy without anion corrections, the calculation gives 285 meV/atom. Its magnetic moment is 0.5103 μB per atom. As for the space-group type: No. 221. The crystal system is cubic. The value obtained for the density of states at the Fermi level is 4.46 states/eV/f.u.

---

No. 8
Compound: LiSmZrRh
Source: Alexandria via LeMat-Bulk
Functional: PBE
Structure: optimized geometry

a = 4.8496 Å, b = 4.8496 Å, c = 4.8496 Å
α = 60.00°, β = 60.00°, γ = 60.00°
Element x y z (fractional)
1 Rh 0.5000 0.5000 0.5000
2 Zr 0.2500 0.2500 0.2500
3 Sm 0.7500 0.7500 0.7500
4 Li 0.0000 0.0000 0.0000

Output
Its magnetic moment is 0.0000 μB per atom. The calculation puts the formation enthalpy at 0 K at -0.276 eV per atom. As for the space-group type: No. 216. The crystal system is cubic. The value obtained for the density of states at the Fermi level is 3.33 states/eV/f.u.

---

Q: Which value of magnetic moment does entry 6 give?
A: 0.2575 μB per atom

---

Q: Which value of magnetic moment does entry 6 give?
A: 0.2575 μB per atom

---

Q: What is the magnetic moment in the third record?
A: 0.0000 μB per atom

---

Q: What is the magnetic moment in the first record?
A: 0.0000 μB per atom